# 1
VASP calculation (GGA-PBE) on a geometry-optimized SmDy2Tm9 structure.

**Spin magnetization**: 0.00 μB/cell
**Formation energy from the elements**: 0.026 eV/atom
**DFT total energy**: -53.9 eV per cell
**DOS(E_F)**: 16.90 states/eV per cell
**Polymorph energy (0 for the lowest one)**: 0 meV/atom

Unit cell a=4.961 b=4.961 c=14.876 alpha=90.00 beta=90.00 gamma=90.00
Sites, in units of the cell vectors:
Sm 0.000 0.000 0.000
Dy 0.000 0.000 0.334
Dy 0.000 0.000 0.666
Tm 0.000 0.500 0.168
Tm 0.000 0.500 0.500
Tm 0.000 0.500 0.832
Tm 0.500 0.000 0.168
Tm 0.500 0.000 0.500
Tm 0.500 0.000 0.832
Tm 0.500 0.500 0.000
Tm 0.500 0.500 0.334
Tm 0.500 0.500 0.666

# 2
VASP calculation (GGA-PBE) on a geometry-optimized Sm15DyTm4 structure.

**Spin magnetization**: 0.00 μB/cell
**Formation energy from the elements**: 0.015 eV/atom
**DFT total energy**: -93.0 eV per cell
**DOS(E_F)**: 26.41 states/eV per cell

Unit cell a=5.087 b=5.087 c=25.352 alpha=90.00 beta=90.00 gamma=90.00
Sites, in units of the cell vectors:
Sm 0.000 0.000 0.000
Sm 0.000 0.000 0.201
Sm 0.000 0.000 0.400
Sm 0.000 0.000 0.600
Sm 0.000 0.000 0.799
Sm 0.000 0.500 0.101
Sm 0.000 0.500 0.300
Sm 0.000 0.500 0.500
Sm 0.000 0.500 0.700
Sm 0.000 0.500 0.899
Sm 0.500 0.000 0.101
Sm 0.500 0.000 0.300
Sm 0.500 0.000 0.500
Sm 0.500 0.000 0.700
Sm 0.500 0.000 0.899
Dy 0.500 0.500 0.000
Tm 0.500 0.500 0.200
Tm 0.500 0.500 0.400
Tm 0.500 0.500 0.600
Tm 0.500 0.500 0.800

# 3
VASP calculation (GGA-PBE) on a geometry-optimized Sm3Dy5Tm3 structure.

**Spin magnetization**: 0.00 μB/cell
**Formation energy from the elements**: 0.344 eV/atom
**DFT total energy**: -46.8 eV per cell
**DOS(E_F)**: 16.11 states/eV per cell

Unit cell a=11.117 b=11.117 c=3.420 alpha=90.00 beta=90.00 gamma=120.00
Sites, in units of the cell vectors:
Sm 0.000 0.660 0.000
Sm 0.340 0.340 0.000
Sm 0.660 0.000 0.000
Dy 0.000 0.160 0.000
Dy 0.160 0.000 0.000
Dy 0.333 0.667 0.000
Dy 0.667 0.333 0.000
Dy 0.840 0.840 0.000
Tm 0.000 0.407 0.500
Tm 0.407 0.000 0.500
Tm 0.593 0.593 0.500

# 4
VASP calculation (GGA-PBE) on a geometry-optimized Sm2Dy6Tm3 structure.

**Spin magnetization**: 0.00 μB/cell
**Formation energy from the elements**: 0.284 eV/atom
**DFT total energy**: -47.3 eV per cell
**DOS(E_F)**: 15.42 states/eV per cell
**Polymorph energy (0 for the lowest one)**: 263 meV/atom

Unit cell a=16.858 b=16.858 c=16.858 alpha=163.95 beta=163.95 gamma=22.78
Sites, in units of the cell vectors:
Sm 0.046 0.046 0.000
Sm 0.954 0.954 0.000
Dy 0.122 0.622 0.500
Dy 0.197 0.197 0.000
Dy 0.378 0.878 0.500
Dy 0.622 0.122 0.500
Dy 0.803 0.803 0.000
Dy 0.878 0.378 0.500
Tm 0.300 0.300 0.000
Tm 0.500 0.500 0.000
Tm 0.700 0.700 0.000

# 5
VASP calculation (GGA-PBE) on a geometry-optimized Sm3Dy12Tm structure.

**Spin magnetization**: 0.00 μB/cell
**Formation energy from the elements**: 0.019 eV/atom
**DFT total energy**: -73.6 eV per cell
**DOS(E_F)**: 21.33 states/eV per cell

Unit cell a=5.027 b=5.027 c=20.099 alpha=90.00 beta=90.00 gamma=90.00
Sites, in units of the cell vectors:
Sm 0.000 0.000 0.000
Sm 0.000 0.000 0.251
Sm 0.000 0.000 0.749
Dy 0.000 0.500 0.126
Dy 0.000 0.500 0.377
Dy 0.000 0.500 0.623
Dy 0.000 0.500 0.874
Dy 0.500 0.000 0.126
Dy 0.500 0.000 0.377
Dy 0.500 0.000 0.623
Dy 0.500 0.000 0.874
Dy 0.500 0.500 0.000
Dy 0.500 0.500 0.251
Dy 0.500 0.500 0.500
Dy 0.500 0.500 0.749
Tm 0.000 0.000 0.500

# 6
VASP calculation (GGA-PBE) on a geometry-optimized Sm5Dy2Tm2 structure.

**Spin magnetization**: 0.00 μB/cell
**Formation energy from the elements**: 0.177 eV/atom
**DFT total energy**: -80.3 eV per cell
**DOS(E_F)**: 23.92 states/eV per cell
**Polymorph energy (0 for the lowest one)**: 158 meV/atom

Unit cell a=10.342 b=10.342 c=10.342 alpha=86.76 beta=103.52 gamma=145.36
Sites, in units of the cell vectors:
Sm 0.154 0.484 0.958
Sm 0.154 0.696 0.170
Sm 0.200 0.048 0.248
Sm 0.200 0.452 0.652
Sm 0.526 0.196 0.042
Sm 0.526 0.984 0.830
Sm 0.573 0.501 0.572
Sm 0.800 0.548 0.348
Sm 0.800 0.952 0.752
Sm 0.930 0.001 0.428
Dy 0.224 0.029 0.695
Dy 0.334 0.529 0.305
Dy 0.408 0.408 0.000
Dy 0.408 0.908 0.500
Tm 0.797 0.210 0.316
Tm 0.797 0.981 0.086
Tm 0.895 0.481 0.684
Tm 0.895 0.710 0.914

# 7
VASP calculation (GGA-PBE) on a geometry-optimized Sm6Dy8Tm structure.

**Spin magnetization**: 0.00 μB/cell
**Formation energy from the elements**: 0.120 eV/atom
**DFT total energy**: -67.8 eV per cell
**DOS(E_F)**: 21.80 states/eV per cell
**Polymorph energy (0 for the lowest one)**: 0 meV/atom

Unit cell a=8.667 b=8.667 c=8.667 alpha=63.18 beta=63.18 gamma=63.18
Sites, in units of the cell vectors:
Sm 0.039 0.605 0.729
Sm 0.271 0.961 0.395
Sm 0.395 0.271 0.961
Sm 0.605 0.729 0.039
Sm 0.729 0.039 0.605
Sm 0.961 0.395 0.271
Dy 0.077 0.077 0.077
Dy 0.220 0.611 0.247
Dy 0.247 0.220 0.611
Dy 0.389 0.753 0.780
Dy 0.611 0.247 0.220
Dy 0.753 0.780 0.389
Dy 0.780 0.389 0.753
Dy 0.923 0.923 0.923
Tm 0.500 0.500 0.500

# 8
VASP calculation (GGA-PBE) on a geometry-optimized Sm3Dy5Tm4 structure.

**Spin magnetization**: 0.26 μB/cell
**Formation energy from the elements**: 0.245 eV/atom
**DFT total energy**: -52.1 eV per cell
**DOS(E_F)**: 19.25 states/eV per cell
**Polymorph energy (0 for the lowest one)**: 225 meV/atom

Unit cell a=8.492 b=8.492 c=9.213 alpha=114.46 beta=114.46 gamma=40.38
Sites, in units of the cell vectors:
Sm 0.000 0.000 0.000
Sm 0.292 0.292 0.771
Sm 0.708 0.708 0.229
Dy 0.074 0.074 0.698
Dy 0.173 0.173 0.388
Dy 0.500 0.500 0.000
Dy 0.827 0.827 0.612
Dy 0.926 0.926 0.302
Tm 0.290 0.290 0.124
Tm 0.419 0.419 0.559
Tm 0.581 0.581 0.441
Tm 0.710 0.710 0.876

# 9
VASP calculation (GGA-PBE) on a geometry-optimized Sm8DyTm2 structure.

**Spin magnetization**: 0.00 μB/cell
**Formation energy from the elements**: 0.176 eV/atom
**DFT total energy**: -49.4 eV per cell
**DOS(E_F)**: 17.83 states/eV per cell
**Polymorph energy (0 for the lowest one)**: 159 meV/atom

Unit cell a=9.002 b=9.002 c=6.664 alpha=99.39 beta=99.39 gamma=43.84
Sites, in units of the cell vectors:
Sm 0.093 0.093 0.911
Sm 0.151 0.674 0.595
Sm 0.255 0.255 0.682
Sm 0.326 0.849 0.405
Sm 0.674 0.151 0.595
Sm 0.745 0.745 0.318
Sm 0.849 0.326 0.405
Sm 0.907 0.907 0.089
Dy 0.500 0.500 0.000
Tm 0.301 0.301 0.195
Tm 0.699 0.699 0.805

# 10
VASP calculation (GGA-PBE) on a geometry-optimized SmDy2Tm2 structure.

**Spin magnetization**: 0.00 μB/cell
**Formation energy from the elements**: 0.123 eV/atom
**DFT total energy**: -22.3 eV per cell
**DOS(E_F)**: 9.07 states/eV per cell
**Polymorph energy (0 for the lowest one)**: 40 meV/atom

Unit cell a=3.492 b=8.603 c=8.603 alpha=38.53 beta=90.00 gamma=90.00
Sites, in units of the cell vectors:
Sm 0.000 0.000 0.000
Dy 0.000 0.381 0.381
Dy 0.500 0.573 0.573
Tm 0.000 0.762 0.762
Tm 0.500 0.192 0.192

# 11
VASP calculation (GGA-PBE) on a geometry-optimized Sm7DyTm2 structure.

**Spin magnetization**: 0.00 μB/cell
**Formation energy from the elements**: 0.018 eV/atom
**DFT total energy**: -46.4 eV per cell
**DOS(E_F)**: 14.34 states/eV per cell
**Polymorph energy (0 for the lowest one)**: 0 meV/atom

Unit cell a=6.215 b=6.216 c=9.497 alpha=102.56 beta=109.06 gamma=99.47
Sites, in units of the cell vectors:
Sm 0.000 0.000 0.000
Sm 0.198 0.000 0.399
Sm 0.201 0.503 0.900
Sm 0.402 0.501 0.301
Sm 0.598 0.499 0.699
Sm 0.799 0.497 0.100
Sm 0.802 0.000 0.601
Dy 0.000 0.500 0.500
Tm 0.400 0.999 0.800
Tm 0.600 0.001 0.200

# 12
VASP calculation (GGA-PBE) on a geometry-optimized Sm2Dy8Tm3 structure.

**Spin magnetization**: 0.00 μB/cell
**Formation energy from the elements**: 0.234 eV/atom
**DFT total energy**: -56.6 eV per cell
**DOS(E_F)**: 21.81 states/eV per cell
**Polymorph energy (0 for the lowest one)**: 161 meV/atom

Unit cell a=10.937 b=10.937 c=5.534 alpha=90.00 beta=90.00 gamma=139.48
Sites, in units of the cell vectors:
Sm 0.241 0.759 0.000
Sm 0.759 0.241 0.000
Dy 0.130 0.870 0.500
Dy 0.182 0.394 0.000
Dy 0.337 0.663 0.500
Dy 0.394 0.182 0.000
Dy 0.606 0.818 0.000
Dy 0.663 0.337 0.500
Dy 0.818 0.606 0.000
Dy 0.870 0.130 0.500
Tm 0.000 0.000 0.000
Tm 0.285 0.285 0.500
Tm 0.715 0.715 0.500

# 13
VASP calculation (GGA-PBE) on a geometry-optimized Sm12DyTm6 structure.

**Spin magnetization**: 0.00 μB/cell
**Formation energy from the elements**: 0.199 eV/atom
**DFT total energy**: -84.3 eV per cell
**DOS(E_F)**: 35.74 states/eV per cell
**Polymorph energy (0 for the lowest one)**: 58 meV/atom

Unit cell a=8.747 b=8.747 c=8.747 alpha=99.03 beta=99.03 gamma=99.03
Sites, in units of the cell vectors:
Sm 0.000 0.258 0.742
Sm 0.000 0.742 0.258
Sm 0.147 0.147 0.418
Sm 0.147 0.418 0.147
Sm 0.258 0.000 0.742
Sm 0.258 0.742 0.000
Sm 0.418 0.147 0.147
Sm 0.582 0.853 0.853
Sm 0.742 0.000 0.258
Sm 0.742 0.258 0.000
Sm 0.853 0.582 0.853
Sm 0.853 0.853 0.582
Dy 0.500 0.500 0.500
Tm 0.164 0.599 0.599
Tm 0.401 0.401 0.836
Tm 0.401 0.836 0.401
Tm 0.599 0.164 0.599
Tm 0.599 0.599 0.164
Tm 0.836 0.401 0.401

# 14
VASP calculation (GGA-PBE) on a geometry-optimized Sm2Dy7Tm structure.

**Spin magnetization**: 0.00 μB/cell
**Formation energy from the elements**: 0.019 eV/atom
**DFT total energy**: -45.9 eV per cell
**DOS(E_F)**: 14.42 states/eV per cell
**Polymorph energy (0 for the lowest one)**: 0 meV/atom

Unit cell a=6.153 b=6.158 c=9.390 alpha=102.67 beta=109.04 gamma=99.56
Sites, in units of the cell vectors:
Sm 0.100 0.001 0.201
Sm 0.900 0.999 0.799
Dy 0.100 0.500 0.699
Dy 0.300 0.000 0.599
Dy 0.301 0.501 0.101
Dy 0.500 0.000 0.000
Dy 0.699 0.499 0.899
Dy 0.700 0.000 0.401
Dy 0.900 0.500 0.301
Tm 0.500 0.500 0.500

# 15
VASP calculation (GGA-PBE) on a geometry-optimized SmDy3Tm3 structure.

**Spin magnetization**: 0.68 μB/cell
**Formation energy from the elements**: 0.139 eV/atom
**DFT total energy**: -123.9 eV per cell
**DOS(E_F)**: 45.64 states/eV per cell
**Polymorph energy (0 for the lowest one)**: 131 meV/atom

Unit cell a=12.788 b=12.788 c=6.498 alpha=99.75 beta=99.75 gamma=117.19
Sites, in units of the cell vectors:
Sm 0.000 0.000 0.000
Sm 0.000 0.167 0.594
Sm 0.167 0.000 0.594
Sm 0.833 0.833 0.428
Dy 0.000 0.279 0.141
Dy 0.000 0.455 0.760
Dy 0.266 0.733 0.237
Dy 0.267 0.533 0.504
Dy 0.279 0.000 0.141
Dy 0.455 0.000 0.760
Dy 0.467 0.734 0.971
Dy 0.533 0.267 0.504
Dy 0.545 0.545 0.305
Dy 0.721 0.721 0.862
Dy 0.733 0.266 0.237
Dy 0.734 0.467 0.971
Tm 0.000 0.532 0.285
Tm 0.000 0.747 0.075
Tm 0.181 0.749 0.721
Tm 0.251 0.432 0.972
Tm 0.253 0.253 0.328
Tm 0.432 0.251 0.972
Tm 0.467 0.467 0.752
Tm 0.532 0.000 0.285
Tm 0.568 0.819 0.540
Tm 0.747 0.000 0.075
Tm 0.749 0.181 0.721
Tm 0.819 0.568 0.540

# 16
VASP calculation (GGA-PBE) on a geometry-optimized Sm2DyTm3 structure.

**Spin magnetization**: 0.00 μB/cell
**Formation energy from the elements**: 0.124 eV/atom
**DFT total energy**: -53.4 eV per cell
**DOS(E_F)**: 18.26 states/eV per cell
**Polymorph energy (0 for the lowest one)**: 3 meV/atom

Unit cell a=11.671 b=11.671 c=10.135 alpha=108.20 beta=108.20 gamma=17.14
Sites, in units of the cell vectors:
Sm 0.069 0.069 0.134
Sm 0.309 0.309 0.628
Sm 0.691 0.691 0.372
Sm 0.931 0.931 0.866
Dy 0.311 0.311 0.963
Dy 0.689 0.689 0.037
Tm 0.070 0.070 0.763
Tm 0.305 0.305 0.285
Tm 0.442 0.442 0.556
Tm 0.558 0.558 0.444
Tm 0.695 0.695 0.715
Tm 0.930 0.930 0.237

# 17
VASP calculation (GGA-PBE) on a geometry-optimized SmDy4Tm6 structure.

**Spin magnetization**: 0.00 μB/cell
**Formation energy from the elements**: 0.469 eV/atom
**DFT total energy**: -44.8 eV per cell
**DOS(E_F)**: 16.79 states/eV per cell
**Polymorph energy (0 for the lowest one)**: 347 meV/atom

Unit cell a=8.382 b=8.382 c=8.382 alpha=125.74 beta=125.74 gamma=80.32
Sites, in units of the cell vectors:
Sm 0.000 0.000 0.000
Dy 0.257 0.257 0.664
Dy 0.407 0.743 0.000
Dy 0.593 0.593 0.336
Dy 0.743 0.407 0.000
Tm 0.000 0.500 0.500
Tm 0.067 0.565 0.000
Tm 0.435 0.435 0.502
Tm 0.500 0.000 0.500
Tm 0.565 0.067 0.000
Tm 0.933 0.933 0.498

# 18
VASP calculation (GGA-PBE) on a geometry-optimized Sm3Dy5Tm structure.

**Spin magnetization**: 0.00 μB/cell
**Formation energy from the elements**: 0.166 eV/atom
**DFT total energy**: -80.3 eV per cell
**DOS(E_F)**: 26.71 states/eV per cell
**Polymorph energy (0 for the lowest one)**: 0 meV/atom

Unit cell a=8.867 b=8.867 c=11.388 alpha=107.97 beta=107.97 gamma=44.39
Sites, in units of the cell vectors:
Sm 0.000 0.000 0.000
Sm 0.000 0.000 0.500
Sm 0.140 0.386 0.644
Sm 0.386 0.140 0.144
Sm 0.614 0.860 0.856
Sm 0.860 0.614 0.356
Dy 0.057 0.294 0.871
Dy 0.294 0.057 0.371
Dy 0.318 0.682 0.250
Dy 0.389 0.397 0.455
Dy 0.397 0.389 0.955
Dy 0.603 0.611 0.045
Dy 0.611 0.603 0.545
Dy 0.682 0.318 0.750
Dy 0.706 0.943 0.629
Dy 0.943 0.706 0.129
Tm 0.226 0.774 0.750
Tm 0.774 0.226 0.250